# PBE AgSnCl2, relaxed
# ΔE to the lowest computed polymorph	0.646	eV per formula unit
# total energy	-2.91	eV per atom
# ΔE_f (raw)	-0.27	eV/atom
# magnetization	0.00	μB per formula unit
data_AgSnCl2
_cell_length_a 5.088
_cell_length_b 5.088
_cell_length_c 5.088
_cell_angle_alpha 60.00
_cell_angle_beta 60.00
_cell_angle_gamma 60.00
_symmetry_space_group_name_H-M 'P 1'
_symmetry_Int_Tables_number 1
_symmetry_space_group_name_Hall 'P 1'
loop_
_atom_site_label
_atom_site_fract_x
_atom_site_fract_y
_atom_site_fract_z
_atom_site_occupancy
Ag1 0.000 0.000 0.000 1
Cl1 0.750 0.750 0.750 1
Cl2 0.250 0.250 0.250 1
Sn1 0.500 0.500 0.500 1